Material: TbBeAu
Method: DFT, PBE
State: relaxed

abc: 4.1972 4.1972 6.5149
angles: 90.00 90.00 90.00
Space group P4/nmm (No. 129, origin choice 2)
Unique sites:
Tb 0.2500 0.2500 0.1751 [2 per cell]
Be 0.2500 0.7500 0.5000 [2 per cell]
Au 0.2500 0.2500 0.6973 [2 per cell]

Results
Distance to the lowest polymorph of the same formula in meV/atom: 2

---

Material: ZnB2Pd
Method: DFT, PBE
State: relaxed

abc: 5.2211 5.2211 8.3095
angles: 90.00 90.00 90.00
Space group I-42d (No. 122)
Unique sites:
Zn 0.0000 0.0000 0.0000 [4 per cell]
B 0.2308 0.2500 0.6250 [8 per cell]
Pd 0.0000 0.0000 0.5000 [4 per cell]

---

Material: NaUB12
Method: DFT, PBE
State: relaxed

abc: 4.1146 4.1146 8.2602
angles: 90.00 90.00 90.00
Space group P4/mmm (No. 123)
Unique sites:
Na 0.0000 0.0000 0.0000 [1 per cell]
U 0.0000 0.0000 0.5000 [1 per cell]
B 0.2001 0.5000 0.2531 [8 per cell]
B 0.5000 0.5000 0.1017 [2 per cell]
B 0.5000 0.5000 0.4018 [2 per cell]

---

Material: Pr3Er5Tm2
Method: DFT, PBE
State: relaxed

abc: 9.4231 9.4293 9.4303
angles: 106.62 115.23 106.67
Space group P-1 (No. 2)
Unique sites:
Pr 0.0779 0.3505 0.0293 [2 per cell]
Pr 0.2732 0.9494 0.4232 [2 per cell]
Pr 0.3239 0.8492 0.7748 [2 per cell]
Er 0.0264 0.4495 0.6737 [2 per cell]
Er 0.1273 0.2506 0.3783 [2 per cell]
Er 0.2253 0.0534 0.0760 [2 per cell]
Er 0.3775 0.7478 0.1239 [2 per cell]
Er 0.4738 0.5487 0.8246 [2 per cell]
Tm 0.1758 0.1513 0.7258 [2 per cell]
Tm 0.4263 0.6463 0.4753 [2 per cell]

---

| no. | formation energy from the elements (eV/f.u.) |
| --- | --- |
| 1 | -1.5 |
| 2 | 3.4 |
| 3 | -2.9 |
| 4 | 0.3 |